1.
Mg2BeSe: relaxed, GGA-PBE.

Unit cell a=4.739 b=4.739 c=4.739 alpha=60.00 beta=60.00 gamma=60.00
Atoms (fractional coordinates):
Mg (0.250, 0.250, 0.250)
Mg (0.750, 0.750, 0.750)
Be (0.000, 0.000, 0.000)
Se (0.500, 0.500, 0.500)

Symmetry ... Fm-3m

=====

2.
MgBe2Se: relaxed, GGA-PBE.

Unit cell a=3.405 b=3.402 c=5.514 alpha=90.00 beta=90.36 gamma=90.00
Atoms (fractional coordinates):
Mg (0.000, 0.000, 0.000)
Be (0.002, 0.500, 0.362)
Be (0.503, 0.000, 0.361)
Se (0.506, 0.500, 0.644)

Symmetry ... Pm

=====

3.
MgBeSe2: relaxed, GGA-PBE.

Unit cell a=3.496 b=3.532 c=8.490 alpha=90.00 beta=90.00 gamma=90.00
Atoms (fractional coordinates):
Mg (0.000, 0.000, 0.000)
Be (0.000, 0.500, 0.500)
Se (0.500, 0.000, 0.500)
Se (0.500, 0.500, 0.000)

Symmetry ... Pmmm

=====

Number 1: energy relative to the lowest polymorph listed for this composition 0.357 eV/atom, VASP energy -0.089 Ha/atom, ρ 3.013 g/cm3. Number 2: energy relative to the lowest polymorph listed for this composition 0.061 eV/atom, VASP energy -0.113 Ha/atom, ρ 3.154 g/cm3. Number 3: energy relative to the lowest polymorph listed for this composition 0.654 eV/atom, VASP energy -0.125 Ha/atom, ρ 3.030 g/cm3.